{
  "formula": "ZrNb2Fe9",
  "functional": "PBE",
  "state": "relaxed",
  "cell": [[4.632, 0.000, 1.379], [2.111, 4.123, 1.379], [0.040, 0.025, 8.336]],
  "species": ["Zr", "Nb", "Nb", "Fe", "Fe", "Fe", "Fe", "Fe", "Fe", "Fe", "Fe", "Fe"],
  "fractional_positions": [[0.000, 0.000, 0.000], [0.858, 0.858, 0.425], [0.142, 0.142, 0.575], [0.667, 0.667, 0.000], [0.333, 0.333, 0.000], [0.500, 0.500, 0.500], [0.412, 0.412, 0.257], [0.918, 0.412, 0.257], [0.412, 0.918, 0.257], [0.588, 0.588, 0.743], [0.588, 0.082, 0.743], [0.082, 0.588, 0.743]],
  "formation_energy_ev_per_atom": -0.1381,
  "e_tot_ev_per_atom": -8.876,
  "magnetic_moment_mub_per_atom": 1.194,
  "sg": "R-3m, No. 166"
}

=====

{
  "formula": "Zr2NbFe2",
  "functional": "PBE",
  "state": "relaxed",
  "cell": [[6.311, 0.000, 0.000], [0.000, 6.311, 0.000], [0.000, 0.000, 4.337]],
  "species": ["Nb", "Nb", "Fe", "Fe", "Fe", "Fe", "Zr", "Zr", "Zr", "Zr"],
  "fractional_positions": [[0.000, 0.000, 0.000], [0.500, 0.500, 0.000], [0.375, 0.875, 0.000], [0.875, 0.625, 0.000], [0.625, 0.125, 0.000], [0.125, 0.375, 0.000], [0.182, 0.682, 0.500], [0.682, 0.818, 0.500], [0.818, 0.318, 0.500], [0.318, 0.182, 0.500]],
  "formation_energy_ev_per_atom": -0.0555,
  "e_tot_ev_per_atom": -8.874,
  "magnetic_moment_mub_per_atom": 0.018,
  "sg": "P4/mbm, No. 127"
}

=====

{
  "formula": "ZrNbFe",
  "functional": "PBE",
  "state": "relaxed",
  "cell": [[4.596, 0.000, 0.000], [0.000, 3.253, 0.000], [0.000, 0.000, 13.592]],
  "species": ["Nb", "Nb", "Nb", "Nb", "Fe", "Fe", "Fe", "Fe", "Zr", "Zr", "Zr", "Zr"],
  "fractional_positions": [[0.500, 0.000, 0.969], [0.500, 0.500, 0.469], [0.500, 0.000, 0.649], [0.500, 0.500, 0.149], [0.000, 0.000, 0.147], [0.000, 0.500, 0.647], [0.500, 0.000, 0.306], [0.500, 0.500, 0.806], [0.000, 0.000, 0.799], [0.000, 0.500, 0.299], [0.000, 0.000, 0.490], [0.000, 0.500, 0.990]],
  "relative_energy_ev_per_atom": 0.0567,
  "formation_energy_ev_per_atom": 0.0050,
  "e_tot_ev_per_atom": -9.022,
  "magnetic_moment_mub_per_atom": 0.145,
  "sg": "Amm2, No. 38"
}

=====

{
  "formula": "ZrNbFe2",
  "functional": "PBE",
  "state": "relaxed",
  "cell": [[-3.511, -5.743, 0.350], [2.442, -1.116, 6.183], [-2.715, -2.029, 4.380]],
  "species": ["Nb", "Nb", "Fe", "Fe", "Fe", "Fe", "Zr", "Zr"],
  "fractional_positions": [[0.000, 0.000, 0.000], [0.750, 0.250, 0.500], [0.643, 0.125, 0.250], [0.107, 0.625, 0.250], [0.375, 0.357, 0.750], [0.875, 0.893, 0.750], [0.500, 0.500, 0.000], [0.250, 0.750, 0.500]],
  "formation_energy_ev_per_atom": 0.4233,
  "e_tot_ev_per_atom": -8.463,
  "magnetic_moment_mub_per_atom": 0.000,
  "sg": "I-42d, No. 122"
}

=====

{
  "formula": "ZrNbFe",
  "functional": "PBE",
  "state": "relaxed",
  "cell": [[-0.871, 1.357, -2.786], [-4.298, -1.703, 0.515], [-3.657, 11.224, 6.612]],
  "species": ["Nb", "Nb", "Nb", "Nb", "Fe", "Fe", "Fe", "Fe", "Zr", "Zr", "Zr", "Zr"],
  "fractional_positions": [[0.500, 0.000, 0.402], [0.500, 0.500, 0.902], [0.000, 0.000, 0.233], [0.000, 0.500, 0.733], [0.000, 0.000, 0.552], [0.000, 0.500, 0.052], [0.000, 0.000, 0.894], [0.000, 0.500, 0.394], [0.500, 0.000, 0.728], [0.500, 0.500, 0.228], [0.500, 0.000, 0.051], [0.500, 0.500, 0.551]],
  "relative_energy_ev_per_atom": 0.0575,
  "formation_energy_ev_per_atom": 0.0057,
  "e_tot_ev_per_atom": -9.021,
  "magnetic_moment_mub_per_atom": 0.022,
  "sg": "Amm2, No. 38"
}

=====

{
  "formula": "NdFe6",
  "functional": "PBE",
  "state": "relaxed",
  "cell": [[-4.332, 2.451, -1.624], [-1.314, -3.929, 3.201], [3.066, 3.385, 2.559]],
  "species": ["Nd", "Fe", "Fe", "Fe", "Fe", "Fe", "Fe"],
  "fractional_positions": [[0.000, 0.000, 0.000], [0.250, 0.750, 0.500], [0.500, 0.750, 0.250], [0.250, 0.500, 0.750], [0.750, 0.250, 0.500], [0.500, 0.250, 0.750], [0.750, 0.500, 0.250]],
  "relative_energy_ev_per_atom": 0.4435,
  "formation_energy_ev_per_atom": 0.5631,
  "e_tot_ev_per_atom": -7.372,
  "magnetic_moment_mub_per_atom": 0.000,
  "sg": "Im-3m, No. 229"
}

=====

{
  "formula": "NdFe4",
  "functional": "PBE",
  "state": "relaxed",
  "cell": [[-3.990, 2.299, 0.871], [0.014, -1.640, 4.391], [2.458, 3.741, 1.389]],
  "species": ["Nd", "Fe", "Fe", "Fe", "Fe"],
  "fractional_positions": [[0.500, 0.500, 0.500], [0.000, 0.000, 0.000], [0.500, 0.000, 0.500], [0.000, 0.500, 0.500], [0.500, 0.500, 0.000]],
  "formation_energy_ev_per_atom": 2.1017,
  "e_tot_ev_per_atom": -5.622,
  "magnetic_moment_mub_per_atom": 1.900,
  "sg": "Pm-3m, No. 221"
}

=====

{
  "formula": "Nd4Fe",
  "functional": "PBE",
  "state": "relaxed",
  "cell": [[0.954, -6.399, -4.176], [-5.218, -5.651, 0.368], [-4.600, -1.392, -6.017]],
  "species": ["Nd", "Nd", "Nd", "Nd", "Nd", "Nd", "Nd", "Nd", "Fe", "Fe"],
  "fractional_positions": [[0.865, 0.865, 0.865], [0.865, 0.404, 0.865], [0.865, 0.865, 0.404], [0.385, 0.846, 0.385], [0.385, 0.385, 0.385], [0.404, 0.865, 0.865], [0.385, 0.385, 0.846], [0.846, 0.385, 0.385], [0.250, 0.250, 0.250], [0.000, 0.000, 0.000]],
  "relative_energy_ev_per_atom": 0.2219,
  "formation_energy_ev_per_atom": 0.4254,
  "e_tot_ev_per_atom": -5.081,
  "magnetic_moment_mub_per_atom": 0.000,
  "sg": "Fd-3m, No. 227"
}